1.
A relaxed structure of Na2YRu, computed with PBE.

abc: 4.9684 4.9684 4.9684
angles: 60.00 60.00 60.00
Fractional positions:
Na1 0.7500 0.7500 0.7500
Na2 0.2500 0.2500 0.2500
Ru1 0.5000 0.5000 0.5000
Y1 0.0000 0.0000 0.0000

The formation energy comes out at 0.727 eV per atom.


2.
A relaxed structure of NdTm2Ir, computed with PBE.

abc: 6.4274 7.2808 9.2248
angles: 90.00 90.00 90.00
Fractional positions:
Tm1 0.8327 0.3251 0.9356
Tm2 0.3327 0.1749 0.0644
Tm3 0.1673 0.6749 0.4356
Tm4 0.6673 0.8251 0.5644
Tm5 0.8327 0.3251 0.5644
Tm6 0.1673 0.6749 0.0644
Tm7 0.3327 0.1749 0.4356
Tm8 0.6673 0.8251 0.9356
Nd1 0.1317 0.9669 0.7500
Nd2 0.8683 0.0331 0.2500
Nd3 0.3683 0.4669 0.7500
Nd4 0.6317 0.5331 0.2500
Ir1 0.0659 0.3819 0.2500
Ir2 0.4341 0.8819 0.2500
Ir3 0.5659 0.1181 0.7500
Ir4 0.9341 0.6181 0.7500

The formation energy comes out at -0.568 eV per atom.


3.
A relaxed structure of TePW, computed with PBE.

abc: 6.6080 6.6080 6.6080
angles: 152.42 152.42 39.40
Fractional positions:
P1 0.0492 0.0492 0.0000
Te1 0.2987 0.2987 0.0000
W1 0.6522 0.6522 0.0000

The value obtained for the uncorrected formation energy is 0.203 eV per atom.


4.
A relaxed structure of NdSmDy2Tl2, computed with PBE.

abc: 5.1623 6.8478 10.1696
angles: 90.00 90.00 90.00
Fractional positions:
Tl1 0.5000 0.2176 0.3574
Tl2 0.0000 0.2980 0.8710
Tl3 0.0000 0.7980 0.1290
Tl4 0.5000 0.7176 0.6426
Dy1 0.0000 0.3328 0.1823
Dy2 0.5000 0.5522 0.9584
Dy3 0.5000 0.0522 0.0416
Dy4 0.0000 0.8328 0.8177
Sm1 0.5000 0.1865 0.6886
Sm2 0.5000 0.6865 0.3114
Nd1 0.0000 0.4585 0.5418
Nd2 0.0000 0.9585 0.4582

The formation energy comes out at -0.270 eV per atom.


5.
A relaxed structure of Zr3HgPb, computed with PBE.

abc: 5.2768 5.2768 5.2768
angles: 90.00 90.00 90.00
Fractional positions:
Zr1 0.5000 0.0000 0.0000
Zr2 0.0000 0.0000 0.5000
Zr3 0.0000 0.5000 0.0000
Pb1 0.5000 0.5000 0.5000
Hg1 0.0000 0.0000 0.0000

The formation energy comes out at 0.745 eV per atom.


6.
A relaxed structure of VCdP2, computed with PBE.

abc: 5.7420 5.7420 6.8468
angles: 65.21 65.21 90.00
Fractional positions:
V1 0.5000 0.5000 0.0000
V2 0.2500 0.7500 0.5000
P1 0.5782 0.1250 0.2500
P2 0.3750 0.4218 0.7500
P3 0.1718 0.6250 0.2500
P4 0.8750 0.8282 0.7500
Cd1 0.0000 0.0000 0.0000
Cd2 0.7500 0.2500 0.5000

The formation energy comes out at -0.028 eV per atom.


7.
A relaxed structure of Tb2YNi, computed with PBE.

abc: 3.8160 3.8160 9.1760
angles: 78.00 78.00 60.00
Fractional positions:
Tb1 0.2739 0.2739 0.1782
Tb2 0.0590 0.0590 0.8231
Ni1 0.6657 0.6657 0.0030
Y1 0.5015 0.5015 0.4956

The formation energy comes out at -0.093 eV per atom.


8.
A relaxed structure of HfAlIr2, computed with PBE.

abc: 3.5419 4.2245 4.2245
angles: 90.00 90.00 90.00
Fractional positions:
Hf1 0.5000 0.0000 0.0000
Ir1 0.0000 0.0000 0.5000
Ir2 0.0000 0.5000 0.0000
Al1 0.5000 0.5000 0.5000

The formation energy comes out at -0.940 eV per atom.


9.
A relaxed structure of Pu2PN4, computed with PBE.

abc: 5.4940 5.4940 5.4723
angles: 120.13 120.13 90.00
Fractional positions:
N1 0.5637 0.5637 0.7684
N2 0.4363 0.7953 0.2316
N3 0.2047 0.2047 0.7684
N4 0.7953 0.4363 0.2316
P1 0.5000 0.5000 0.0000
Pu1 0.2500 0.7500 0.5000
Pu2 0.7500 0.2500 0.5000

The value obtained for the uncorrected formation energy is -0.752 eV per atom.


10.
A relaxed structure of TbPm2Hg6, computed with PBE.

abc: 3.4648 8.6842 8.6842
angles: 120.00 90.00 90.00
Fractional positions:
Tb1 0.0000 0.0000 0.0000
Pm1 0.0000 0.3333 0.6667
Pm2 0.0000 0.6667 0.3333
Hg1 0.5000 0.6682 0.0000
Hg2 0.5000 0.6682 0.6682
Hg3 0.5000 0.3318 0.0000
Hg4 0.5000 0.3318 0.3318
Hg5 0.5000 0.0000 0.3318
Hg6 0.5000 0.0000 0.6682

The formation energy comes out at -0.415 eV per atom.


11.
A relaxed structure of LaBTeI2, computed with PBE.

abc: 5.2290 5.2290 5.0738
angles: 90.00 90.00 90.00
Fractional positions:
La1 0.5000 0.5000 0.5000
I1 0.5000 0.0000 0.0000
I2 0.0000 0.5000 0.0000
Te1 0.0000 0.0000 0.5000
B1 0.0000 0.0000 0.0000

The value obtained for the uncorrected formation energy is -0.060 eV per atom.


12.
A relaxed structure of KRb2PdBr6, computed with PBE.

abc: 7.5185 7.5185 16.4388
angles: 76.78 76.78 60.00
Fractional positions:
Rb1 0.8594 0.8594 0.4218
Rb2 0.1406 0.1406 0.5782
Rb3 0.6914 0.6914 0.9258
Rb4 0.3086 0.3086 0.0742
Pd1 0.0000 0.0000 0.0000
Pd2 0.5000 0.5000 0.5000
Br1 0.6315 0.1421 0.5948
Br2 0.7086 0.1934 0.9045
Br3 0.2914 0.8066 0.0955
Br4 0.3685 0.3685 0.4052
Br5 0.8579 0.3685 0.4052
Br6 0.8066 0.2914 0.0955
Br7 0.3685 0.8579 0.4052
Br8 0.6315 0.6315 0.5948
Br9 0.1934 0.1934 0.9045
Br10 0.1934 0.7086 0.9045
Br11 0.8066 0.8066 0.0955
Br12 0.1421 0.6315 0.5948
K1 0.4165 0.4165 0.7505
K2 0.5835 0.5835 0.2495

The value obtained for the uncorrected formation energy is -1.123 eV per atom.


What are the M_tot values for these records? In order: 0.0, 0.0, 0.0, 0.0, 1.2, 1.0, 0.0, 0.0, 9.0, 0.4, 0.3, 0.0 μB/f.u..
What are the DOS at the Fermi energy values for these records? In order: 0.784, 1.029, 0.678, 1.042, 1.490, 0.653, 1.292, 0.539, 2.286, 0.734, 0.823, 0.483 states/eV per atom.